No. 1
Here is an optimized crystal structure of ScCdFeGe from OQMD. Energies are from PBE-GGA.

- Relative energy among the computed polymorphs: 0.61 eV/f.u.

abc: 4.5872 4.5872 4.5872
angles: 60.00 60.00 60.00
With the nearest neighbours (Å) after each atom.
Fractional coordinates of all 4 atoms:
Sc (0.0000, 0.0000, 0.0000)  4 Fe 2.81, 4 Cd 2.81
Cd (0.2500, 0.2500, 0.2500)  4 Ge 2.81, 4 Sc 2.81
Fe (0.7500, 0.7500, 0.7500)  4 Ge 2.81, 4 Sc 2.81
Ge (0.5000, 0.5000, 0.5000)  4 Cd 2.81, 4 Fe 2.81

***

No. 2
Here is an optimized crystal structure of ScCdFeGe from OQMD. Energies are from PBE-GGA.

- Relative energy among the computed polymorphs: 0.00 eV/f.u.

abc: 4.5910 4.5910 4.5910
angles: 60.00 60.00 60.00
With the nearest neighbours (Å) after each atom.
Fractional coordinates of all 4 atoms:
Sc (0.0000, 0.0000, 0.0000)  4 Cd 2.81, 4 Ge 2.81
Cd (0.7500, 0.7500, 0.7500)  4 Fe 2.81, 4 Sc 2.81
Fe (0.5000, 0.5000, 0.5000)  4 Cd 2.81, 4 Ge 2.81
Ge (0.2500, 0.2500, 0.2500)  4 Fe 2.81, 4 Sc 2.81

***

No. 3
Here is an optimized crystal structure of CdFeTcGe from OQMD. Energies are from PBE-GGA.

- Relative energy among the computed polymorphs: 0.00 eV/f.u.

abc: 4.4020 4.4020 4.4020
angles: 60.00 60.00 60.00
With the nearest neighbours (Å) after each atom.
Fractional coordinates of all 4 atoms:
Cd (0.0000, 0.0000, 0.0000)  4 Fe 2.70, 4 Tc 2.70
Fe (0.7500, 0.7500, 0.7500)  4 Ge 2.70, 4 Cd 2.70
Tc (0.2500, 0.2500, 0.2500)  4 Cd 2.70, 4 Ge 2.70
Ge (0.5000, 0.5000, 0.5000)  4 Fe 2.70, 4 Tc 2.70

***

No. 4
Here is an optimized crystal structure of CdFeGeTe3 from OQMD. Energies are from PBE-GGA.

- Relative energy among the computed polymorphs: 0.00 eV/f.u.

abc: 7.3650 7.3650 11.9001
angles: 90.00 90.00 148.55
With the nearest neighbours (Å) after each atom.
Fractional coordinates of all 12 atoms:
Cd (0.0000, 0.0000, 0.0000)  6 Te 2.99-3.17
Cd (0.0000, 0.0000, 0.5000)  6 Te 2.99-3.17
Fe (0.4554, 0.5446, 0.7500)  4 Te 2.61-2.65, 2 Ge 2.77
Fe (0.5446, 0.4554, 0.2500)  4 Te 2.61-2.65, 2 Ge 2.77
Ge (0.1798, 0.8202, 0.2500)  2 Fe 2.77, 4 Te 2.99
Ge (0.8202, 0.1798, 0.7500)  2 Fe 2.77, 4 Te 2.99
Te (0.0779, 0.9221, 0.7500)  2 Fe 2.65
Te (0.3534, 0.6466, 0.5671)  1 Fe 2.61
Te (0.3534, 0.6466, 0.9329)  1 Fe 2.61
Te (0.6466, 0.3534, 0.0671)  1 Fe 2.61
Te (0.6466, 0.3534, 0.4329)  1 Fe 2.61
Te (0.9221, 0.0779, 0.2500)  2 Fe 2.65

***

No. 5
Here is an optimized crystal structure of CdFeGeTe3 from OQMD. Energies are from PBE-GGA.

- Relative energy among the computed polymorphs: 0.74 eV/f.u.

abc: 7.2426 7.2426 11.7201
angles: 90.00 90.00 148.37
With the nearest neighbours (Å) after each atom.
Fractional coordinates of all 12 atoms:
Cd (0.0253, 0.9747, 0.7500)  4 Te 2.78-2.91
Cd (0.9747, 0.0253, 0.2500)  4 Te 2.78-2.91
Fe (0.5000, 0.5000, 0.0000)  4 Te 2.74
Fe (0.5000, 0.5000, 0.5000)  4 Te 2.74
Ge (0.2769, 0.7231, 0.2500)  2 Te 2.87
Ge (0.7231, 0.2769, 0.7500)  2 Te 2.87
Te (0.1298, 0.8702, 0.5483)  2 Fe 2.74, 1 Cd 2.78
Te (0.1298, 0.8702, 0.9517)  2 Fe 2.74, 1 Cd 2.78
Te (0.3722, 0.6278, 0.7500)  2 Ge 2.87, 2 Cd 2.91
Te (0.6278, 0.3722, 0.2500)  2 Ge 2.87, 2 Cd 2.91
Te (0.8702, 0.1298, 0.0483)  2 Fe 2.74, 1 Cd 2.78
Te (0.8702, 0.1298, 0.4517)  2 Fe 2.74, 1 Cd 2.78

***

No. 6
Here is an optimized crystal structure of CdFeGeW from OQMD. Energies are from PBE-GGA.

- Relative energy among the computed polymorphs: 0.00 eV/f.u.

abc: 4.4559 4.4559 4.4559
angles: 60.00 60.00 60.00
With the nearest neighbours (Å) after each atom.
Fractional coordinates of all 4 atoms:
Cd (0.0000, 0.0000, 0.0000)  4 Fe 2.73, 4 W 2.73
Fe (0.7500, 0.7500, 0.7500)  4 Ge 2.73, 4 Cd 2.73
Ge (0.5000, 0.5000, 0.5000)  4 Fe 2.73, 4 W 2.73
W (0.2500, 0.2500, 0.2500)  4 Ge 2.73, 4 Cd 2.73

***

No. 7
Here is an optimized crystal structure of ZnCdFeGe from OQMD. Energies are from PBE-GGA.

- Relative energy among the computed polymorphs: 0.04 eV/f.u.

abc: 4.5312 4.5312 4.5312
angles: 60.00 60.00 60.00
With the nearest neighbours (Å) after each atom.
Fractional coordinates of all 4 atoms:
Zn (0.0000, 0.0000, 0.0000)  4 Fe 2.77, 4 Cd 2.77
Cd (0.2500, 0.2500, 0.2500)  4 Ge 2.77, 4 Zn 2.77
Fe (0.7500, 0.7500, 0.7500)  4 Ge 2.77, 4 Zn 2.77
Ge (0.5000, 0.5000, 0.5000)  4 Fe 2.77, 4 Cd 2.77

***

No. 8
Here is an optimized crystal structure of ZnCdFeGe from OQMD. Energies are from PBE-GGA.

- Relative energy among the computed polymorphs: 0.00 eV/f.u.

abc: 4.5376 4.5376 4.5376
angles: 60.00 60.00 60.00
With the nearest neighbours (Å) after each atom.
Fractional coordinates of all 4 atoms:
Zn (0.0000, 0.0000, 0.0000)  4 Cd 2.78, 4 Ge 2.78
Cd (0.7500, 0.7500, 0.7500)  4 Fe 2.78, 4 Zn 2.78
Fe (0.5000, 0.5000, 0.5000)  4 Ge 2.78, 4 Cd 2.78
Ge (0.2500, 0.2500, 0.2500)  4 Fe 2.78, 4 Zn 2.78

***

No. 9
Here is an optimized crystal structure of HfCdFe2 from OQMD. Energies are from PBE-GGA.

- Energy of formation: 234 meV/atom

abc: 4.4842 4.4842 4.4842
angles: 60.00 60.00 60.00
With the nearest neighbours (Å) after each atom.
Fractional coordinates of all 4 atoms:
Hf (0.0000, 0.0000, 0.0000)  4 Cd 2.75, 4 Fe 2.75
Cd (0.2500, 0.2500, 0.2500)  4 Hf 2.75, 4 Fe 2.75
Fe (0.5000, 0.5000, 0.5000)  4 Cd 2.75, 4 Fe 2.75
Fe (0.7500, 0.7500, 0.7500)  4 Hf 2.75, 4 Fe 2.75

***

No. 10
Here is an optimized crystal structure of HfCdFe from OQMD. Energies are from PBE-GGA.

- Relative energy among the computed polymorphs: 0.00 eV/f.u.
- Energy of formation: 818 meV/atom

abc: 4.3963 4.3963 4.3963
angles: 60.00 60.00 60.00
With the nearest neighbours (Å) after each atom.
Fractional coordinates of all 3 atoms:
Hf (0.0000, 0.0000, 0.0000)  4 Cd 2.69
Cd (0.7500, 0.7500, 0.7500)  4 Hf 2.69, 4 Fe 2.69
Fe (0.5000, 0.5000, 0.5000)  4 Cd 2.69

***

No. 11
Here is an optimized crystal structure of HfCdFe from OQMD. Energies are from PBE-GGA.

- Relative energy among the computed polymorphs: 0.25 eV/f.u.
- Energy of formation: 901 meV/atom

abc: 4.4410 4.4410 4.4410
angles: 60.00 60.00 60.00
With the nearest neighbours (Å) after each atom.
Fractional coordinates of all 3 atoms:
Hf (0.0000, 0.0000, 0.0000)  4 Cd 2.72, 4 Fe 2.72
Cd (0.7500, 0.7500, 0.7500)  4 Hf 2.72
Fe (0.2500, 0.2500, 0.2500)  4 Hf 2.72

***

No. 12
Here is an optimized crystal structure of Hf2CdFe from OQMD. Energies are from PBE-GGA.

- Energy of formation: 270 meV/atom

abc: 4.6450 4.6450 4.6450
angles: 60.00 60.00 60.00
With the nearest neighbours (Å) after each atom.
Fractional coordinates of all 4 atoms:
Hf (0.0000, 0.0000, 0.0000)  4 Fe 2.84, 4 Hf 2.84
Hf (0.2500, 0.2500, 0.2500)  4 Cd 2.84, 4 Hf 2.84
Cd (0.5000, 0.5000, 0.5000)  4 Fe 2.84, 4 Hf 2.84
Fe (0.7500, 0.7500, 0.7500)  4 Cd 2.84, 4 Hf 2.84

***

No. 13
Here is an optimized crystal structure of HfCd2Fe from OQMD. Energies are from PBE-GGA.

- Energy of formation: 197 meV/atom

abc: 4.6896 4.6896 4.6896
angles: 60.00 60.00 60.00
With the nearest neighbours (Å) after each atom.
Fractional coordinates of all 4 atoms:
Hf (0.0000, 0.0000, 0.0000)  4 Cd 2.87, 4 Fe 2.87
Cd (0.2500, 0.2500, 0.2500)  4 Cd 2.87, 4 Hf 2.87
Cd (0.5000, 0.5000, 0.5000)  4 Fe 2.87, 4 Cd 2.87
Fe (0.7500, 0.7500, 0.7500)  4 Cd 2.87, 4 Hf 2.87

***

No. 14
Here is an optimized crystal structure of Hf4CdFeN2 from OQMD. Energies are from PBE-GGA.

- E: -9.06 eV/atom

abc: 3.1909 3.1909 14.0567
angles: 90.00 90.00 120.00
With the nearest neighbours (Å) after each atom.
Fractional coordinates of all 8 atoms:
Hf (0.0000, 0.0000, 0.1378)  3 N 2.28
Hf (0.0000, 0.0000, 0.8622)  3 N 2.28
Hf (0.3333, 0.6667, 0.3223)  3 N 2.22
Hf (0.3333, 0.6667, 0.6777)  3 N 2.22
Cd (0.0000, 0.0000, 0.5000)  6 Hf 3.10, 6 Cd 3.19
Fe (0.3333, 0.6667, 0.0000)  6 Hf 2.67
N (0.6667, 0.3333, 0.2339)  6 Hf 2.22-2.28
N (0.6667, 0.3333, 0.7661)  6 Hf 2.22-2.28

***

No. 15
Here is an optimized crystal structure of HfCdFeSb from OQMD. Energies are from PBE-GGA.

- Relative energy among the computed polymorphs: 0.00 eV/f.u.

abc: 4.7650 4.7650 4.7650
angles: 60.00 60.00 60.00
With the nearest neighbours (Å) after each atom.
Fractional coordinates of all 4 atoms:
Hf (0.0000, 0.0000, 0.0000)  4 Cd 2.92, 4 Sb 2.92
Cd (0.7500, 0.7500, 0.7500)  4 Hf 2.92, 4 Fe 2.92
Fe (0.5000, 0.5000, 0.5000)  4 Cd 2.92, 4 Sb 2.92
Sb (0.2500, 0.2500, 0.2500)  4 Hf 2.92, 4 Fe 2.92

***

No. 16
Here is an optimized crystal structure of HfCdFeSb from OQMD. Energies are from PBE-GGA.

- Relative energy among the computed polymorphs: 0.14 eV/f.u.

abc: 4.7361 4.7361 4.7361
angles: 60.00 60.00 60.00
With the nearest neighbours (Å) after each atom.
Fractional coordinates of all 4 atoms:
Hf (0.0000, 0.0000, 0.0000)  4 Cd 2.90, 4 Fe 2.90
Cd (0.2500, 0.2500, 0.2500)  4 Sb 2.90, 4 Hf 2.90
Fe (0.7500, 0.7500, 0.7500)  4 Sb 2.90, 4 Hf 2.90
Sb (0.5000, 0.5000, 0.5000)  4 Cd 2.90, 4 Fe 2.90

***

No. 17
Here is an optimized crystal structure of HfCdFeSn from OQMD. Energies are from PBE-GGA.

- Relative energy among the computed polymorphs: 0.09 eV/f.u.

abc: 4.7430 4.7430 4.7430
angles: 60.00 60.00 60.00
With the nearest neighbours (Å) after each atom.
Fractional coordinates of all 4 atoms:
Hf (0.0000, 0.0000, 0.0000)  4 Sn 2.90, 4 Cd 2.90
Cd (0.7500, 0.7500, 0.7500)  4 Hf 2.90, 4 Fe 2.90
Fe (0.5000, 0.5000, 0.5000)  4 Cd 2.90, 4 Sn 2.90
Sn (0.2500, 0.2500, 0.2500)  4 Fe 2.90, 4 Hf 2.90

***

No. 18
Here is an optimized crystal structure of HfCdFeSn from OQMD. Energies are from PBE-GGA.

- Relative energy among the computed polymorphs: 0.00 eV/f.u.

abc: 4.6902 4.6902 4.6902
angles: 60.00 60.00 60.00
With the nearest neighbours (Å) after each atom.
Fractional coordinates of all 4 atoms:
Hf (0.0000, 0.0000, 0.0000)  4 Fe 2.87, 4 Cd 2.87
Cd (0.2500, 0.2500, 0.2500)  4 Hf 2.87, 4 Sn 2.87
Fe (0.7500, 0.7500, 0.7500)  4 Hf 2.87, 4 Sn 2.87
Sn (0.5000, 0.5000, 0.5000)  4 Fe 2.87, 4 Cd 2.87

***

No. 19
Here is an optimized crystal structure of CdInFeHg from OQMD. Energies are from PBE-GGA.

- Relative energy among the computed polymorphs: 0.00 eV/f.u.

abc: 4.8437 4.8437 4.8437
angles: 60.00 60.00 60.00
With the nearest neighbours (Å) after each atom.
Fractional coordinates of all 4 atoms:
Cd (0.0000, 0.0000, 0.0000)  4 Hg 2.97, 4 In 2.97
In (0.2500, 0.2500, 0.2500)  4 Cd 2.97, 4 Fe 2.97
Fe (0.5000, 0.5000, 0.5000)  4 Hg 2.97, 4 In 2.97
Hg (0.7500, 0.7500, 0.7500)  4 Fe 2.97, 4 Cd 2.97

***

No. 20
Here is an optimized crystal structure of CdFeHgPb from OQMD. Energies are from PBE-GGA.

- Relative energy among the computed polymorphs: 0.00 eV/f.u.

abc: 4.9883 4.9883 4.9883
angles: 60.00 60.00 60.00
With the nearest neighbours (Å) after each atom.
Fractional coordinates of all 4 atoms:
Cd (0.0000, 0.0000, 0.0000)  4 Hg 3.05, 4 Pb 3.05
Fe (0.5000, 0.5000, 0.5000)  4 Hg 3.05, 4 Pb 3.05
Hg (0.7500, 0.7500, 0.7500)  4 Fe 3.05, 4 Cd 3.05
Pb (0.2500, 0.2500, 0.2500)  4 Fe 3.05, 4 Cd 3.05